1.
This record from Alexandria via LeMat-Bulk describes crystalline Ag2PdAu9 at its relaxed geometry. The functional is PBE.

Unit cell a=4.2020 b=4.2020 c=12.0443 alpha=90.00 beta=90.00 gamma=90.00
Closest atoms and distances in Å follow each position.
Atoms (fractional coordinates):
Au 0.5000 0.5000 0.3317  8 Au 2.92, 4 Ag 2.97
Au 0.5000 0.0000 0.1637  2 Pd 2.88, 8 Au 2.88-2.97, 2 Ag 2.91
Au 0.5000 0.5000 0.0000  8 Au 2.88, 4 Pd 2.97
Au 0.5000 0.0000 0.5000  8 Au 2.92-2.97, 4 Ag 2.92
Au 0.0000 0.5000 0.5000  8 Au 2.92-2.97, 4 Ag 2.92
Au 0.0000 0.5000 0.1637  8 Au 2.88-2.97, 2 Pd 2.88, 2 Ag 2.91
Au 0.5000 0.0000 0.8363  2 Pd 2.88, 8 Au 2.88-2.97, 2 Ag 2.91
Au 0.5000 0.5000 0.6683  8 Au 2.92, 4 Ag 2.97
Au 0.0000 0.5000 0.8363  8 Au 2.88-2.97, 2 Pd 2.88, 2 Ag 2.91
Pd 0.0000 0.0000 0.0000  12 Au 2.88-2.97
Ag 0.0000 0.0000 0.6685  12 Au 2.91-2.97
Ag 0.0000 0.0000 0.3315  12 Au 2.91-2.97

Properties
Formation energy from the elements in eV per atom: -0.04
Space group: P4/mmm (123)



2.
This record from Alexandria via LeMat-Bulk describes crystalline Sm2PaMnS6 at its relaxed geometry. The functional is PBE.

Unit cell a=5.6612 b=6.7639 c=6.7639 alpha=90.00 beta=90.00 gamma=90.00
Closest atoms and distances in Å follow each position.
Atoms (fractional coordinates):
Sm 0.9566 0.5000 0.0000  4 S 2.81
Sm 0.9566 0.0000 0.5000  4 S 2.81
S 0.6955 0.2375 0.7625  1 Mn 2.36, 1 Pa 2.55
S 0.1369 0.5000 0.5000  2 Pa 2.69-2.97
S 0.6955 0.7625 0.7625  1 Mn 2.36, 1 Pa 2.55
S 0.1960 0.0000 0.0000  1 Mn 2.21
S 0.6955 0.2375 0.2375  1 Mn 2.36, 1 Pa 2.55
S 0.6955 0.7625 0.2375  1 Mn 2.36, 1 Pa 2.55
Mn 0.8060 0.0000 0.0000  5 S 2.21-2.36
Pa 0.6128 0.5000 0.5000  5 S 2.55-2.69

Properties
Uncorrected formation energy in eV/atom: -1.3056
Space group: P4mm (99)



3.
This record from Alexandria via LeMat-Bulk describes crystalline B3IrBr at its relaxed geometry. The functional is PBE.

Unit cell a=4.0105 b=4.0105 c=4.0105 alpha=90.00 beta=90.00 gamma=90.00
Closest atoms and distances in Å follow each position.
Atoms (fractional coordinates):
Ir 0.5000 0.5000 0.5000  12 B 2.84
B 0.5000 0.0000 0.0000  2 Br 2.01
B 0.0000 0.0000 0.5000  2 Br 2.01
B 0.0000 0.5000 0.0000  2 Br 2.01
Br 0.0000 0.0000 0.0000  6 B 2.01

Properties
Uncorrected formation energy in eV/atom: 2.6894
Energy above the lowest structure with this stoichiometry in eV/atom: 1.781
Space group: Pm-3m (221)



4.
This record from Alexandria via LeMat-Bulk describes crystalline Ba2As2Au at its relaxed geometry. The functional is PBE.

Unit cell a=6.2172 b=6.2172 c=6.3350 alpha=60.61 beta=60.61 gamma=90.00
Closest atoms and distances in Å follow each position.
Atoms (fractional coordinates):
Ba 0.2500 0.7500 0.5000  4 As 3.29
Ba 0.7500 0.2500 0.5000  4 As 3.29
As 0.3669 0.3669 0.2662  1 As 2.43
As 0.6331 0.6331 0.7338  1 As 2.43
Au 0.0000 0.0000 0.0000  2 As 3.35

Properties
Formation energy from the elements in eV per atom: -0.61
Energy above the lowest structure with this stoichiometry in eV/atom: 0.311
Space group: I4/mmm (139)



5.
This record from Alexandria via LeMat-Bulk describes crystalline GdZnCo4 at its relaxed geometry. The functional is PBE.

Unit cell a=4.9246 b=4.9246 c=4.9246 alpha=60.00 beta=60.00 gamma=60.00
Closest atoms and distances in Å follow each position.
Atoms (fractional coordinates):
Co 0.6261 0.1218 0.6261  6 Co 2.44-2.48
Co 0.1218 0.6261 0.6261  6 Co 2.44-2.48
Co 0.6261 0.6261 0.6261  6 Co 2.44-2.48
Co 0.6261 0.6261 0.1218  6 Co 2.44-2.48
Gd 0.2500 0.2500 0.2500  12 Co 2.89, 4 Zn 3.02
Zn 0.0000 0.0000 0.0000  12 Co 2.89, 4 Gd 3.02

Properties
Formation energy from the elements in eV per atom: -0.12
Space group: F-43m (216)



6.
This record from Alexandria via LeMat-Bulk describes crystalline Be2AsCl at its relaxed geometry. The functional is PBE.

Unit cell a=5.1331 b=5.1331 c=6.3875 alpha=66.31 beta=66.31 gamma=90.00
Closest atoms and distances in Å follow each position.
Atoms (fractional coordinates):
Be 0.1006 0.6250 0.2500  2 As 2.17, 2 Cl 2.31
Be 0.3750 0.3506 0.7500  2 As 2.17, 2 Cl 2.31
Be 0.6494 0.1250 0.2500  2 As 2.17, 2 Cl 2.31
Be 0.8750 0.8994 0.7500  2 As 2.17, 2 Cl 2.31
As 0.7500 0.2500 0.5000  4 Be 2.17
As 0.0000 0.0000 0.0000  4 Be 2.17
Cl 0.5000 0.5000 0.0000  4 Be 2.31
Cl 0.2500 0.7500 0.5000  4 Be 2.31

Properties
Uncorrected formation energy in eV/atom: -0.4012
Energy above the lowest structure with this stoichiometry in eV/atom: 0.013
Space group: I-42d (122)



7.
This record from Alexandria via LeMat-Bulk describes crystalline KY3F at its relaxed geometry. The functional is PBE.

Unit cell a=5.2465 b=5.2465 c=5.2465 alpha=90.00 beta=90.00 gamma=90.00
Closest atoms and distances in Å follow each position.
Atoms (fractional coordinates):
Y 0.0000 0.5000 0.0000  2 F 2.62
Y 0.5000 0.0000 0.0000  2 F 2.62
Y 0.0000 0.0000 0.5000  2 F 2.62
F 0.0000 0.0000 0.0000  6 Y 2.62
K 0.5000 0.5000 0.5000  12 Y 3.71

Properties
Uncorrected formation energy in eV/atom: -0.4350
Energy above the lowest structure with this stoichiometry in eV/atom: 0.000
Space group: Pm-3m (221)



8.
This record from Alexandria via LeMat-Bulk describes crystalline Hg3W at its relaxed geometry. The functional is PBE.

Unit cell a=6.1654 b=6.1654 c=4.9164 alpha=90.00 beta=90.00 gamma=120.00
Closest atoms and distances in Å follow each position.
Atoms (fractional coordinates):
Hg 0.8287 0.1713 0.2500  8 Hg 3.00-3.17, 4 W 3.01-3.08
Hg 0.3426 0.1713 0.2500  8 Hg 3.00-3.17, 4 W 3.01-3.08
Hg 0.6574 0.8287 0.7500  8 Hg 3.00-3.17, 4 W 3.01-3.08
Hg 0.1713 0.3426 0.7500  8 Hg 3.00-3.17, 4 W 3.01-3.08
Hg 0.8287 0.6574 0.2500  8 Hg 3.00-3.17, 4 W 3.01-3.08
Hg 0.1713 0.8287 0.7500  8 Hg 3.00-3.17, 4 W 3.01-3.08
W 0.6667 0.3333 0.7500  12 Hg 3.01-3.08
W 0.3333 0.6667 0.2500  12 Hg 3.01-3.08

Properties
Formation energy from the elements in eV per atom: 0.94
Energy above the lowest structure with this stoichiometry in eV/atom: 0.489
Space group: P6_3/mmc (194)



9.
This record from Alexandria via LeMat-Bulk describes crystalline LiPm2Pb2 at its relaxed geometry. The functional is PBE.

Unit cell a=4.7125 b=6.3580 c=10.3023 alpha=88.73 beta=76.78 gamma=68.25
Closest atoms and distances in Å follow each position.
Atoms (fractional coordinates):
Pb 0.0748 0.2736 0.5767  3 Li 2.72-2.94
Pb 0.6494 0.8253 0.8759  1 Li 2.86, 1 Pb 3.12
Pb 0.9252 0.7264 0.4233  3 Li 2.72-2.94
Pb 0.3506 0.1747 0.1241  1 Li 2.86, 1 Pb 3.12
Pm 0.6745 0.3171 0.3338  6 Pb 3.23-3.45, 4 Li 3.35-3.55
Pm 0.0857 0.7312 0.0973  6 Pb 3.27-3.52, 2 Li 3.62
Pm 0.3255 0.6829 0.6662  6 Pb 3.23-3.45, 4 Li 3.35-3.55
Pm 0.9143 0.2688 0.9027  6 Pb 3.27-3.52, 2 Li 3.62
Li 0.3628 0.9190 0.3555  4 Pb 2.72-2.94
Li 0.6372 0.0810 0.6445  4 Pb 2.72-2.94

Properties
Formation energy from the elements in eV per atom: -0.50
Energy above the lowest structure with this stoichiometry in eV/atom: 0.000
Space group: C2/m (12)



10.
This record from Alexandria via LeMat-Bulk describes crystalline Pa2PbW at its relaxed geometry. The functional is PBE.

Unit cell a=3.1642 b=3.1642 c=11.3633 alpha=82.00 beta=82.00 gamma=60.00
Closest atoms and distances in Å follow each position.
Atoms (fractional coordinates):
Pa 0.0784 0.0784 0.7649  1 W 2.64
Pa 0.9216 0.9216 0.2351  1 W 2.64
Pb 0.5000 0.5000 0.5000  6 Pb 3.16, 6 Pa 3.49
W 0.0000 0.0000 0.0000  2 Pa 2.64

Properties
Formation energy from the elements in eV per atom: 0.60
Energy above the lowest structure with this stoichiometry in eV/atom: 0.487
Space group: R-3m (166)



The ρ results, record by record, are as follows: 16.4, 5.0, 7.8, 5.9, 9.0, 3.1, 3.7, 16.1, 8.5, 14.6 Mg/m³.